No. 1
Compound: PrAs2
Source: Alexandria
Functional: PBE
Structure: relaxed

Calculated values
DFT formation energy   -992 meV/atom
Total energy   -68.2 eV per cell

Unit cell a=6.9442 b=4.1726 c=10.6838 alpha=73.27 beta=90.00 gamma=90.00
With the nearest neighbours (Å) after each atom.
Positions (direct):
Pr (0.1861, 0.0895, 0.6402)  9 As 3.04-3.25
Pr (0.8139, 0.9105, 0.3598)  9 As 3.04-3.25
Pr (0.3139, 0.0895, 0.1402)  9 As 3.04-3.25
As (0.1227, 0.7271, 0.9506)  2 As 2.51-2.54
As (0.8536, 0.5379, 0.6709)  1 As 2.51
As (0.6227, 0.2729, 0.5494)  2 As 2.51-2.54
Pr (0.6861, 0.9105, 0.8598)  9 As 3.04-3.25
As (0.8773, 0.2729, 0.0494)  2 As 2.51-2.54
As (0.6464, 0.5379, 0.1709)  1 As 2.51
As (0.1464, 0.4621, 0.3291)  1 As 2.51
As (0.3536, 0.4621, 0.8291)  1 As 2.51
As (0.3773, 0.7271, 0.4506)  2 As 2.51-2.54

No. 2
Compound: Pr4As
Source: Alexandria
Functional: PBE
Structure: relaxed

Calculated values
DFT formation energy   -306 meV/atom
Total energy   -25.3 eV per cell

Unit cell a=5.7588 b=5.7588 c=5.7588 alpha=90.00 beta=90.00 gamma=90.00
With the nearest neighbours (Å) after each atom.
Positions (direct):
Pr (0.0000, 0.0000, 0.0000)  12 Pr 4.07
Pr (0.0000, 0.5000, 0.5000)  2 As 2.88
Pr (0.5000, 0.0000, 0.5000)  2 As 2.88
As (0.5000, 0.5000, 0.5000)  6 Pr 2.88
Pr (0.5000, 0.5000, 0.0000)  2 As 2.88